Record 1
12
Lattice="8.6595 0.0000 0.0000 0.0000 4.1568 0.0000 -0.7002 0.0000 9.7842" Properties=species:S:1:pos:R:3 comment="Tb3SiTeCl | Alexandria | PBE-GGA | optimized geometry" dft_energy_ev_per_cell=-62.16 formation_energy_uncorrected_ev_per_atom=-1.13 spacegroup="P2_1/m (11)" pbc="T T T"
Tb 0.5877 1.0392 3.4176
Tb 0.7896 1.0392 9.0398
Tb 2.6931 3.1176 6.2446
Tb 5.2662 1.0392 3.5396
Tb 7.1697 3.1176 0.7444
Tb 7.3716 3.1176 6.3666
Si 0.7190 1.0392 6.2845
Si 7.2404 3.1176 3.4997
Te 2.9324 3.1176 3.1138
Te 5.0269 1.0392 6.6704
Cl 2.5252 3.1176 9.0627
Cl 5.4341 1.0392 0.7214

Record 2
16
Lattice="4.2163 2.4343 7.0943 -4.2163 2.4343 7.0943 0.0000 -4.8685 7.0943" Properties=species:S:1:pos:R:3 comment="Tb8Si3Te4Cl | Alexandria | PBE-GGA | optimized geometry" dft_energy_ev_per_cell=-87.01 formation_energy_uncorrected_ev_per_atom=-1.21 spacegroup="R-3m (166)" pbc="T T T"
Tb -2.1971 -1.2685 12.2023
Tb 0.0000 0.0000 5.1011
Tb 0.0000 -2.5369 9.0807
Tb -2.1971 1.2685 9.0807
Tb 2.1971 -1.2685 12.2023
Tb 0.0000 2.5369 12.2023
Tb 0.0000 0.0000 16.1819
Tb 2.1971 1.2685 9.0807
Si -4.2162 0.0000 10.6415
Si -2.1081 1.2171 3.5472
Si 2.1081 1.2171 3.5472
Te 0.0000 0.0000 0.0000
Te -2.1081 -1.2171 7.0943
Te -2.1081 1.2171 14.1886
Te 0.0000 2.4343 7.0943
Cl 0.0000 0.0000 10.6415

Record 3
16
Lattice="6.5836 0.0000 0.0000 0.0000 6.5836 0.0000 0.0000 0.0000 6.5836" Properties=species:S:1:pos:R:3 comment="SiTcCl2 | Alexandria | PBE-GGA | optimized geometry" dft_energy_ev_per_cell=-66.00 formation_energy_uncorrected_ev_per_atom=0.75 spacegroup="Fm-3m (225)" de_polymorph_mev_per_atom=1034 pbc="T T T"
Si 0.0000 0.0000 0.0000
Si 0.0000 3.2918 3.2918
Si 3.2918 0.0000 3.2918
Si 3.2918 3.2918 0.0000
Tc 0.0000 0.0000 3.2918
Tc 0.0000 3.2918 0.0000
Tc 3.2918 0.0000 0.0000
Tc 3.2918 3.2918 3.2918
Cl 1.6459 1.6459 1.6459
Cl 1.6459 1.6459 4.9377
Cl 1.6459 4.9377 1.6459
Cl 1.6459 4.9377 4.9377
Cl 4.9377 1.6459 1.6459
Cl 4.9377 1.6459 4.9377
Cl 4.9377 4.9377 1.6459
Cl 4.9377 4.9377 4.9377

Record 4
8
Lattice="8.2038 0.0000 0.0000 0.0000 3.1318 0.0000 -0.8556 0.0000 7.4197" Properties=species:S:1:pos:R:3 comment="SiTcCl2 | Alexandria | PBE-GGA | optimized geometry" dft_energy_ev_per_cell=-40.67 formation_energy_uncorrected_ev_per_atom=-0.21 spacegroup="Cm (8)" de_polymorph_mev_per_atom=75 pbc="T T T"
Si 0.0000 0.0000 0.0000
Si 4.1019 1.5659 0.0000
Tc 1.4258 0.0000 6.9043
Tc 5.5277 1.5659 6.9043
Cl 1.3533 1.5659 5.1082
Cl 3.1199 0.0000 1.7932
Cl 5.4552 0.0000 5.1082
Cl 7.2218 1.5659 1.7932

Record 5
6
Lattice="3.0374 0.0000 0.0000 0.0000 3.0374 0.0000 0.0000 0.0000 11.4778" Properties=species:S:1:pos:R:3 comment="SiTcCl | Alexandria | PBE-GGA | optimized geometry" dft_energy_ev_per_cell=-33.67 formation_energy_uncorrected_ev_per_atom=0.27 spacegroup="I4mm (107)" de_polymorph_mev_per_atom=724 pbc="T T T"
Si 0.0000 0.0000 0.0000
Si 1.5187 1.5187 5.7389
Tc 0.0000 0.0000 6.9604
Tc 1.5187 1.5187 1.2215
Cl 0.0000 0.0000 2.9400
Cl 1.5187 1.5187 8.6789

Record 6
12
Lattice="23.0177 0.0000 0.0000 0.0000 3.1377 0.0000 -0.0244 0.0000 3.2760" Properties=species:S:1:pos:R:3 comment="SiTcCl | Alexandria | PBE-GGA | optimized geometry" dft_energy_ev_per_cell=-75.19 formation_energy_uncorrected_ev_per_atom=-0.39 spacegroup="Cm (8)" de_polymorph_mev_per_atom=69 pbc="T T T"
Si 0.0000 0.0000 0.0000
Si 2.9268 1.5689 0.0221
Si 11.5089 1.5689 0.0000
Si 14.4356 0.0000 0.0221
Tc 1.1361 1.5689 1.6468
Tc 3.7512 0.0000 1.6663
Tc 12.6449 0.0000 1.6468
Tc 15.2601 1.5689 1.6663
Cl 5.9976 0.0000 1.6826
Cl 9.4317 1.5689 3.2607
Cl 17.5064 1.5689 1.6826
Cl 20.9406 0.0000 3.2607

Record 7
8
Lattice="7.5543 0.0000 0.0000 0.0000 3.1724 0.0000 -3.3296 0.0000 6.2852" Properties=species:S:1:pos:R:3 comment="Si2TcCl | Alexandria | PBE-GGA | optimized geometry" dft_energy_ev_per_cell=-45.11 formation_energy_uncorrected_ev_per_atom=0.13 spacegroup="Cm (8)" de_polymorph_mev_per_atom=139 pbc="T T T"
Si 0.0000 0.0000 0.0000
Si -1.1545 0.0000 5.3629
Si 3.7772 1.5862 0.0000
Si 2.6226 1.5862 5.3629
Tc 1.5869 1.5862 1.0494
Tc 5.3640 0.0000 1.0494
Cl 1.8779 0.0000 2.9573
Cl 5.6550 1.5862 2.9573

Record 8
4
Lattice="4.4837 0.0000 0.0000 0.0000 2.8583 0.0000 -0.0138 0.0000 4.6765" Properties=species:S:1:pos:R:3 comment="Si2TcCl | Alexandria | PBE-GGA | optimized geometry" dft_energy_ev_per_cell=-20.54 formation_energy_uncorrected_ev_per_atom=0.63 spacegroup="P2/m (10)" de_polymorph_mev_per_atom=642 pbc="T T T"
Si 0.0000 0.0000 0.0000
Si 2.2419 1.4292 0.0000
Tc -0.0069 1.4292 2.3382
Cl 2.2350 0.0000 2.3382

Record 9
8
Lattice="5.3691 0.0000 0.0000 0.0000 7.4059 0.0000 0.0000 0.0000 2.9662" Properties=species:S:1:pos:R:3 comment="Si2TcCl | Alexandria | PBE-GGA | optimized geometry" dft_energy_ev_per_cell=-42.28 formation_energy_uncorrected_ev_per_atom=0.48 spacegroup="Cmmm (65)" de_polymorph_mev_per_atom=493 pbc="T T T"
Si 1.3423 1.8515 0.0000
Si 1.3423 5.5544 0.0000
Si 4.0269 1.8515 0.0000
Si 4.0269 5.5544 0.0000
Tc 0.0000 0.0000 1.4831
Tc 2.6846 3.7030 1.4831
Cl 0.0000 3.7030 1.4831
Cl 2.6846 0.0000 1.4831

Record 10
4
Lattice="2.9184 0.0000 0.0000 0.0000 2.9184 0.0000 0.0000 0.0000 7.7375" Properties=species:S:1:pos:R:3 comment="SiTc2Cl | Alexandria | PBE-GGA | optimized geometry" dft_energy_ev_per_cell=-27.68 formation_energy_uncorrected_ev_per_atom=0.08 spacegroup="P4mm (99)" de_polymorph_mev_per_atom=90 pbc="T T T"
Si 0.0000 0.0000 0.0000
Tc 0.0000 0.0000 3.1630
Tc 1.4592 1.4592 1.4861
Cl 1.4592 1.4592 4.8644